# La2NiBr

A relaxed La2NiBr crystal (GGA-PBE, Alexandria via LeMat-Bulk).

abc: 5.159 5.159 5.159
angles: 60.00 60.00 60.00
Atoms (fractional coordinates):
La1 0.250 0.250 0.250
La2 0.000 0.000 0.000
Ni1 0.750 0.750 0.750
Br1 0.500 0.500 0.500

Computed properties:
energy above the lowest structure with this stoichiometry	0.915	eV per atom
spin magnetization	0.0	μB per formula unit
formation energy from raw total energies	0.041	eV/atom